Record 1
Density functional theory data (GGA-PBE) for a relaxed RbPaTl crystal.

Cell lengths 3.790, 3.981, 14.945 Å; angles 90.80, 91.45, 90.00 degrees
Element x y z (fractional)
Rb 0.239 0.269 0.350
Rb 0.761 0.731 0.650
Pa 0.187 0.252 0.043
Pa 0.813 0.748 0.957
Tl 0.292 0.240 0.823
Tl 0.708 0.760 0.177

Computed properties:
Energy of formation = 0.1177 eV per atom
Electronic total energy = -4.16 eV per atom



Record 2
Density functional theory data (GGA-PBE) for a relaxed MgCoP2 crystal.

Cell lengths 6.421, 6.421, 6.421 Å; angles 154.94, 148.55, 40.63 degrees
Element x y z (fractional)
Mg 0.000 0.000 0.000
Co 0.769 0.269 0.500
P 0.333 0.833 0.500
P 0.622 0.622 0.000

Computed properties:
Energy of formation = -0.2321 eV per atom
Electronic total energy = -5.11 eV per atom



Record 3
Density functional theory data (GGA-PBE) for a relaxed Tm5TlIn2 crystal.

Cell lengths 9.028, 9.028, 9.028 Å; angles 127.82, 127.82, 76.91 degrees
Element x y z (fractional)
Tm 0.000 0.000 0.000
Tm 0.008 0.508 0.821
Tm 0.187 0.008 0.500
Tm 0.313 0.813 0.821
Tm 0.492 0.313 0.500
Tm 0.500 0.500 0.000
Tm 0.508 0.687 0.500
Tm 0.687 0.187 0.179
Tm 0.813 0.992 0.500
Tm 0.992 0.492 0.179
Tl 0.250 0.250 0.000
Tl 0.750 0.750 0.000
In 0.133 0.367 0.500
In 0.367 0.867 0.234
In 0.633 0.133 0.766
In 0.867 0.633 0.500

Computed properties:
Energy above the lowest structure with this stoichiometry = 0.0 meV/atom
Energy of formation = -0.3225 eV per atom
Electronic total energy = -4.10 eV per atom



Record 4
Density functional theory data (GGA-PBE) for a relaxed ScAg3Pb crystal.

Cell lengths 5.186, 5.186, 5.186 Å; angles 90.00, 90.00, 90.00 degrees
Element x y z (fractional)
Sc 0.000 0.000 0.000
Ag 0.000 0.000 0.500
Ag 0.000 0.500 0.000
Ag 0.500 0.000 0.000
Pb 0.500 0.500 0.500

Computed properties:
Energy above the lowest structure with this stoichiometry = 0.0 meV/atom
Energy of formation = 0.6958 eV per atom
Electronic total energy = -3.02 eV per atom



Record 5
Density functional theory data (GGA-PBE) for a relaxed La3ZnO6 crystal.

Cell lengths 7.600, 7.600, 5.708 Å; angles 90.00, 90.00, 102.64 degrees
Element x y z (fractional)
La 0.106 0.894 0.500
La 0.194 0.415 0.459
La 0.415 0.194 0.959
La 0.585 0.806 0.459
La 0.806 0.585 0.959
La 0.894 0.106 0.000
Zn 0.309 0.691 0.928
Zn 0.691 0.309 0.428
O 0.081 0.607 0.744
O 0.147 0.170 0.727
O 0.170 0.147 0.227
O 0.285 0.715 0.264
O 0.393 0.919 0.744
O 0.464 0.536 0.786
O 0.536 0.464 0.286
O 0.607 0.081 0.244
O 0.715 0.285 0.764
O 0.830 0.853 0.727
O 0.853 0.830 0.227
O 0.919 0.393 0.244

Computed properties:
Formation energy without anion corrections = -2.82 eV per atom
Electronic total energy = -7.40 eV per atom



Record 6
Density functional theory data (GGA-PBE) for a relaxed Zr3Ni6As5 crystal.

Cell lengths 3.783, 11.625, 9.460 Å; angles 90.00, 90.00, 90.00 degrees
Element x y z (fractional)
Zr 0.250 0.089 0.247
Zr 0.250 0.411 0.247
Zr 0.250 0.750 0.257
Zr 0.750 0.250 0.743
Zr 0.750 0.589 0.753
Zr 0.750 0.911 0.753
Ni 0.250 0.070 0.610
Ni 0.250 0.250 0.476
Ni 0.250 0.250 0.993
Ni 0.250 0.430 0.610
Ni 0.250 0.584 0.000
Ni 0.250 0.916 0.000
Ni 0.750 0.084 0.000
Ni 0.750 0.416 0.000
Ni 0.750 0.570 0.390
Ni 0.750 0.750 0.007
Ni 0.750 0.750 0.524
Ni 0.750 0.930 0.390
As 0.250 0.083 0.851
As 0.250 0.417 0.851
As 0.250 0.623 0.527
As 0.250 0.750 0.848
As 0.250 0.877 0.527
As 0.750 0.123 0.473
As 0.750 0.250 0.152
As 0.750 0.377 0.473
As 0.750 0.583 0.149
As 0.750 0.917 0.149

Computed properties:
Energy of formation = -0.6996 eV per atom
Electronic total energy = -6.67 eV per atom



Record 7
Density functional theory data (GGA-PBE) for a relaxed AcTeAuO crystal.

Cell lengths 4.371, 4.371, 9.912 Å; angles 90.00, 90.00, 90.00 degrees
Element x y z (fractional)
Ac 0.250 0.250 0.124
Ac 0.750 0.750 0.876
Te 0.250 0.250 0.692
Te 0.750 0.750 0.308
Au 0.250 0.750 0.500
Au 0.750 0.250 0.500
O 0.250 0.750 0.000
O 0.750 0.250 0.000

Computed properties:
Formation energy without anion corrections = -1.81 eV per atom
Electronic total energy = -5.68 eV per atom



Record 8
Density functional theory data (GGA-PBE) for a relaxed BaMn crystal.

Cell lengths 7.824, 7.824, 7.824 Å; angles 150.44, 76.91, 110.89 degrees
Element x y z (fractional)
Ba 0.000 0.000 0.000
Ba 0.452 0.134 0.319
Ba 0.815 0.134 0.681
Mn 0.181 0.783 0.398
Mn 0.377 0.377 0.000
Mn 0.386 0.783 0.602

Computed properties:
Energy of formation = 0.5276 eV per atom
Electronic total energy = -5.02 eV per atom



Record 9
Density functional theory data (GGA-PBE) for a relaxed BaYCr crystal.

Cell lengths 5.402, 5.402, 5.402 Å; angles 60.00, 60.00, 60.00 degrees
Element x y z (fractional)
Ba 0.000 0.000 0.000
Y 0.500 0.500 0.500
Cr 0.250 0.250 0.250

Computed properties:
Energy above the lowest structure with this stoichiometry = 318.3 meV/atom
Energy of formation = 0.8213 eV per atom
Electronic total energy = -5.18 eV per atom



Record 10
Density functional theory data (GGA-PBE) for a relaxed CsSn3H crystal.

Cell lengths 6.460, 6.460, 6.460 Å; angles 90.00, 90.00, 90.00 degrees
Element x y z (fractional)
Cs 0.000 0.000 0.000
Sn 0.000 0.000 0.500
Sn 0.000 0.500 0.000
Sn 0.500 0.000 0.000
H 0.500 0.500 0.500

Computed properties:
Energy above the lowest structure with this stoichiometry = 1424.8 meV/atom
Electronic total energy = -1.48 eV per atom



Record 11
Density functional theory data (GGA-PBE) for a relaxed TaBeOs2 crystal.

Cell lengths 8.296, 8.296, 8.296 Å; angles 19.54, 19.54, 19.54 degrees
Element x y z (fractional)
Ta 0.000 0.000 0.000
Be 0.500 0.500 0.500
Os 0.240 0.240 0.240
Os 0.760 0.760 0.760

Computed properties:
Energy of formation = 0.0714 eV per atom
Electronic total energy = -9.44 eV per atom



Record 12
Density functional theory data (GGA-PBE) for a relaxed Ac4Bi2PbSe crystal.

Cell lengths 8.265, 4.794, 8.321 Å; angles 90.00, 109.47, 90.00 degrees
Element x y z (fractional)
Ac 0.247 0.000 0.243
Ac 0.249 0.500 0.757
Ac 0.751 0.500 0.243
Ac 0.753 0.000 0.757
Bi 0.000 0.000 0.500
Bi 0.500 0.500 0.500
Pb 0.500 0.000 0.000
Se 0.000 0.500 0.000

Computed properties:
Formation energy without anion corrections = -1.09 eV per atom
Electronic total energy = -5.02 eV per atom



Which formula does entry 12 have?
Ac4Bi2PbSe



Which value of electronic total energy does entry 4 give?
-3.02 eV per atom